1.
A relaxed Ta2AlVSb crystal. Source: the Alexandria database, functional GGA-PBE.

Properties
uncorrected formation energy	1635	meV/atom

a b c (Å): 5.032 5.032 4.823
angles (deg): 90.00 90.00 90.00
Space group P4/mmm (No. 123)
One atom of each set of equivalent atoms:
Ta  0.000  0.500  0.000
Al  0.000  0.000  0.500
V  0.500  0.500  0.500
Sb  0.500  0.500  0.000

2.
A relaxed Y2TaAlSb crystal. Source: the Alexandria database, functional GGA-PBE.

Properties
uncorrected formation energy	363	meV/atom

a b c (Å): 5.361 5.361 4.854
angles (deg): 90.00 90.00 90.00
Space group P4/mmm (No. 123)
One atom of each set of equivalent atoms:
Y  0.000  0.500  0.000
Ta  0.000  0.000  0.500
Al  0.000  0.000  0.000
Sb  0.500  0.500  0.500

3.
A relaxed TbAl2Sb crystal. Source: the Alexandria database, functional GGA-PBE.

Properties
uncorrected formation energy	-374	meV/atom

a b c (Å): 4.513 4.513 4.354
angles (deg): 90.00 90.00 90.00
Space group P4/mmm (No. 123)
One atom of each set of equivalent atoms:
Tb  0.000  0.000  0.000
Al  0.000  0.500  0.500
Sb  0.500  0.500  0.000

4.
A relaxed Tb7Al2Sb2 crystal. Source: the Alexandria database, functional GGA-PBE.

Properties
uncorrected formation energy	-498	meV/atom

a b c (Å): 4.406 14.603 9.866
angles (deg): 90.00 90.00 90.00
Space group Imm2 (No. 44)
One atom of each set of equivalent atoms:
Tb  0.000  0.000  0.000
Tb  0.000  0.117  0.397
Tb  0.000  0.311  0.635
Tb  0.000  0.370  0.233
Al  0.000  0.000  0.662
Al  0.000  0.500  0.739
Sb  0.000  0.225  0.925